Entry 1:
Material: Pm3Nd6Sm2Tl
Method: DFT, PBE-GGA
State: relaxed

```
Pm3Nd6Sm2Tl
1.0
6.2887 -0.0116 -0.0006
-3.1529 5.4412 -0.0006
-1.0689 -1.8508 11.8030
Pm Nd Sm Tl
3 6 2 1
direct
0.1687 0.8313 0.5000 Pm
0.8313 0.1687 0.5000 Pm
0.5000 0.5000 0.5000 Pm
0.9185 0.5923 0.7537 Nd
0.7562 0.7562 0.2483 Nd
0.0815 0.4077 0.2463 Nd
0.5923 0.9185 0.7537 Nd
0.2438 0.2438 0.7517 Nd
0.4077 0.0815 0.2463 Nd
0.3340 0.6660 0.0000 Sm
0.6660 0.3340 0.0000 Sm
0.0000 0.0000 0.0000 Tl
```

Output
The value obtained for the density of states at the Fermi level is 15.36 states/eV/cell. The total energy is -4.576 eV per atom. The total magnetization comes out at 0.0000 μB/atom. Its formation energy is -0.021 eV per atom. The space group is No. 12.



Entry 2:
Material: Pm2NdSmTl4
Method: DFT, PBE-GGA
State: relaxed

```
Pm2NdSmTl4
1.0
-1.8558 -1.2496 -5.0102
-0.1985 -5.2371 -1.6248
-9.0133 -2.8575 1.0467
Pm Nd Sm Tl
2 1 1 4
direct
0.7499 0.7499 0.7504 Pm
0.2501 0.2501 0.2496 Pm
0.5000 0.5000 0.5000 Nd
0.0000 0.0000 0.0000 Sm
0.3745 0.3745 0.8764 Tl
0.8755 0.8755 0.3735 Tl
0.1245 0.1245 0.6265 Tl
0.6255 0.6255 0.1236 Tl
```

Output
The value obtained for the density of states at the Fermi level is 6.23 states/eV/cell. The total energy is -3.940 eV per atom. The total magnetization comes out at 0.0000 μB/atom. Its formation energy is -0.384 eV per atom. The space group is No. 166.



Entry 3:
Material: Pm2Nd6Sm3Tl
Method: DFT, PBE-GGA
State: relaxed

```
Pm2Nd6Sm3Tl
1.0
6.2806 -0.0094 0.0002
-3.1469 5.4354 0.0002
-1.0636 -1.8417 11.7997
Pm Nd Sm Tl
2 6 3 1
direct
0.3340 0.6660 0.0000 Pm
0.6660 0.3340 0.0000 Pm
0.9180 0.5920 0.7524 Nd
0.7567 0.7567 0.2494 Nd
0.0820 0.4080 0.2476 Nd
0.5920 0.9180 0.7524 Nd
0.2433 0.2433 0.7506 Nd
0.4080 0.0820 0.2476 Nd
0.1682 0.8318 0.5000 Sm
0.8318 0.1682 0.5000 Sm
0.5000 0.5000 0.5000 Sm
0.0000 0.0000 0.0000 Tl
```

Output
The value obtained for the density of states at the Fermi level is 15.20 states/eV/cell. The total energy is -4.577 eV per atom. The total magnetization comes out at 0.0000 μB/atom. Its formation energy is -0.024 eV per atom. The space group is No. 12.



Entry 4:
Material: Pm2Nd3Sm6Tl
Method: DFT, PBE-GGA
State: relaxed

```
Pm2Nd3Sm6Tl
1.0
6.2492 -0.0073 -0.0015
-3.1294 5.4092 -0.0015
-1.0530 -1.8233 11.7721
Pm Nd Sm Tl
2 3 6 1
direct
0.3339 0.6661 0.0000 Pm
0.6661 0.3339 0.0000 Pm
0.1684 0.8316 0.5000 Nd
0.8316 0.1684 0.5000 Nd
0.5000 0.5000 0.5000 Nd
0.9186 0.5925 0.7540 Sm
0.7559 0.7559 0.2478 Sm
0.0814 0.4075 0.2460 Sm
0.5925 0.9186 0.7540 Sm
0.2441 0.2441 0.7522 Sm
0.4075 0.0814 0.2460 Sm
0.0000 0.0000 0.0000 Tl
```

Output
The value obtained for the density of states at the Fermi level is 15.82 states/eV/cell. The total energy is -4.564 eV per atom. The total magnetization comes out at 0.0000 μB/atom. Its formation energy is -0.024 eV per atom. The space group is No. 12.



Entry 5:
Material: PmNd2Sm4Tl2
Method: DFT, PBE-GGA
State: relaxed

```
PmNd2Sm4Tl2
1.0
6.3616 1.0857 0.3369
0.0517 8.2711 1.5279
-2.9025 -3.6400 4.9472
Pm Nd Sm Tl
1 2 4 2
direct
0.0000 0.0000 0.0000 Pm
0.1815 0.8211 0.4821 Nd
0.8185 0.1789 0.5179 Nd
0.5974 0.7726 0.0224 Sm
0.6976 0.6184 0.4762 Sm
0.4026 0.2274 0.9776 Sm
0.3024 0.3816 0.5238 Sm
0.8534 0.4041 0.0477 Tl
0.1466 0.5959 0.9523 Tl
```

Output
The value obtained for the density of states at the Fermi level is 11.22 states/eV/cell. The total energy is -4.293 eV per atom. The total magnetization comes out at 0.0000 μB/atom. Its formation energy is -0.083 eV per atom. The space group is No. 2.



Entry 6:
Material: Pm2NdSmTl2
Method: DFT, PBE-GGA
State: relaxed

```
Pm2NdSmTl2
1.0
5.2592 0.0000 0.0000
0.0000 6.9035 0.0000
0.0000 0.0000 10.2761
Pm Nd Sm Tl
4 2 2 4
direct
0.5000 0.0526 0.0428 Pm
0.0000 0.3265 0.1824 Pm
0.5000 0.5526 0.9572 Pm
0.0000 0.8265 0.8176 Pm
0.0000 0.9615 0.4576 Nd
0.0000 0.4615 0.5424 Nd
0.5000 0.1885 0.6847 Sm
0.5000 0.6885 0.3153 Sm
0.0000 0.2973 0.8626 Tl
0.5000 0.2191 0.3635 Tl
0.0000 0.7973 0.1374 Tl
0.5000 0.7191 0.6365 Tl
```

Output
The value obtained for the density of states at the Fermi level is 13.92 states/eV/cell. The total energy is -4.227 eV per atom. The total magnetization comes out at 0.0001 μB/atom. Its formation energy is -0.273 eV per atom. The space group is No. 26.



Entry 7:
Material: PmNd4Sm2Tl2
Method: DFT, PBE-GGA
State: relaxed

```
PmNd4Sm2Tl2
1.0
-4.7854 -1.5461 -4.2833
-2.7657 -7.2817 3.1593
-0.9819 5.2330 4.0928
Pm Nd Sm Tl
1 4 2 2
direct
0.0000 0.0000 0.0000 Pm
0.5818 0.7897 0.0391 Nd
0.6950 0.6235 0.4924 Nd
0.4182 0.2103 0.9609 Nd
0.3050 0.3765 0.5076 Nd
0.1625 0.8113 0.4727 Sm
0.8375 0.1887 0.5273 Sm
0.8423 0.4133 0.0424 Tl
0.1577 0.5867 0.9576 Tl
```

Output
The value obtained for the density of states at the Fermi level is 10.92 states/eV/cell. The total energy is -4.304 eV per atom. The total magnetization comes out at 0.0000 μB/atom. Its formation energy is -0.083 eV per atom. The space group is No. 2.



Entry 8:
Material: Pm2Nd4SmTl2
Method: DFT, PBE-GGA
State: relaxed

```
Pm2Nd4SmTl2
1.0
6.4446 1.1499 0.4880
0.0704 8.2585 1.4841
-2.9788 -3.6122 4.9073
Pm Nd Sm Tl
2 4 1 2
direct
0.1694 0.8151 0.4753 Pm
0.8306 0.1849 0.5247 Pm
0.5879 0.7826 0.0302 Nd
0.6934 0.6244 0.4820 Nd
0.4121 0.2174 0.9698 Nd
0.3066 0.3756 0.5180 Nd
0.0000 0.0000 0.0000 Sm
0.8518 0.4078 0.0479 Tl
0.1482 0.5922 0.9521 Tl
```

Output
The value obtained for the density of states at the Fermi level is 11.18 states/eV/cell. The total energy is -4.308 eV per atom. The total magnetization comes out at 0.0000 μB/atom. Its formation energy is -0.084 eV per atom. The space group is No. 2.